Here is an optimized crystal structure of Cr2BiMoO8 from Alexandria. Energies are from GGA+U.

**Uncorrected energy**: -84.041 eV/cell
**DOS(E_F)**: 1.7 states/eV per cell

Cell and atoms, written as POSCAR:
```
Cr2BiMoO8
1.0
3.3071 -3.3496 0.0000
3.3071 3.3496 0.0000
0.0000 0.0000 6.4691
Cr Bi Mo O
2 1 1 8
Cartesian
0.0000 0.0000 1.5556
0.0000 0.0000 4.9135
3.3071 0.0000 3.2345
3.3071 0.0000 0.0000
1.1467 0.0000 3.2345
1.3289 0.0000 0.0000
3.3071 1.3339 1.4149
3.3071 1.3339 5.0542
3.3071 -1.3339 1.4149
3.3071 -1.3339 5.0542
5.2852 0.0000 0.0000
5.4674 0.0000 3.2345
```